1.
Sm3Be2Pd9Au | PBE | relaxed

Cell and atoms, written as POSCAR:
```
Sm3Be2Pd9Au
1.0
5.927 0.000 0.000
-2.964 5.133 0.000
0.000 0.000 9.510
Sm Be Pd Au
3 2 9 1
direct
0.000 0.000 0.000
0.333 0.667 0.699
0.667 0.333 0.301
0.333 0.667 0.146
0.667 0.333 0.854
0.000 0.500 0.000
0.159 0.318 0.271
0.159 0.841 0.271
0.318 0.159 0.729
0.500 0.000 0.000
0.500 0.500 0.000
0.682 0.841 0.271
0.841 0.159 0.729
0.841 0.682 0.729
0.000 0.000 0.500
```

Values from the calculation:
VASP energy ... -5.3688 eV per atom
DOS at the Fermi energy ... 0.232 states/eV per atom
SG ... P-3m1, No. 164
Total magnetic moment ... 0.00 μB per cell


2.
Sr2Be3PdAu12 | PBE | relaxed

Cell and atoms, written as POSCAR:
```
Sr2Be3PdAu12
1.0
4.186 2.417 6.486
-4.186 2.417 6.486
0.000 -4.834 6.486
Sr Be Pd Au
2 3 1 12
direct
0.109 0.109 0.109
0.891 0.891 0.891
0.000 0.500 0.500
0.500 0.000 0.500
0.500 0.500 0.000
0.500 0.500 0.500
0.115 0.618 0.618
0.165 0.165 0.600
0.165 0.600 0.165
0.382 0.382 0.885
0.382 0.885 0.382
0.400 0.835 0.835
0.600 0.165 0.165
0.618 0.115 0.618
0.618 0.618 0.115
0.835 0.400 0.835
0.835 0.835 0.400
0.885 0.382 0.382
```

Values from the calculation:
VASP energy ... -3.4283 eV per atom
DOS at the Fermi energy ... 0.269 states/eV per atom
SG ... R-3m, No. 166
Total magnetic moment ... 0.00 μB per cell


3.
Sr2BePdAu6 | PBE | relaxed

Cell and atoms, written as POSCAR:
```
Sr2BePdAu6
1.0
6.395 0.000 0.000
3.184 5.631 0.000
3.177 1.732 6.301
Sr Be Pd Au
2 1 1 6
direct
0.218 0.226 0.340
0.782 0.774 0.660
0.000 0.000 0.000
0.500 0.500 0.500
0.238 0.680 0.842
0.241 0.234 0.828
0.306 0.771 0.170
0.694 0.229 0.830
0.759 0.766 0.172
0.762 0.320 0.158
```

Values from the calculation:
VASP energy ... -3.6769 eV per atom
DOS at the Fermi energy ... 0.319 states/eV per atom
SG ... P-1, No. 2
Total magnetic moment ... 0.00 μB per cell


4.
SrBePdAu2 | PBE | relaxed

Cell and atoms, written as POSCAR:
```
SrBePdAu2
1.0
4.662 0.000 0.000
0.000 4.662 0.000
0.000 0.000 4.541
Sr Be Pd Au
1 1 1 2
direct
0.000 0.000 0.000
0.500 0.500 0.500
0.500 0.500 0.000
0.000 0.500 0.500
0.500 0.000 0.500
```

Values from the calculation:
VASP energy ... -3.8947 eV per atom
DOS at the Fermi energy ... 0.360 states/eV per atom
SG ... P4/mmm, No. 123
Total magnetic moment ... 0.00 μB per cell


5.
YBePdAu2 | PBE | relaxed

Cell and atoms, written as POSCAR:
```
YBePdAu2
1.0
4.516 0.000 0.000
0.000 4.516 0.000
0.000 0.000 4.478
Y Be Pd Au
1 1 1 2
direct
0.000 0.000 0.000
0.500 0.500 0.500
0.500 0.500 0.000
0.000 0.500 0.500
0.500 0.000 0.500
```

Values from the calculation:
VASP energy ... -4.9032 eV per atom
DOS at the Fermi energy ... 0.419 states/eV per atom
SG ... P4/mmm, No. 123
Total magnetic moment ... 0.00 μB per cell


6.
YBePd2Au | PBE | relaxed

Cell and atoms, written as POSCAR:
```
YBePd2Au
1.0
4.414 0.000 0.000
0.000 4.414 0.000
0.000 0.000 4.484
Y Be Pd Au
1 1 2 1
direct
0.000 0.000 0.000
0.500 0.500 0.500
0.000 0.500 0.500
0.500 0.000 0.500
0.500 0.500 0.000
```

Values from the calculation:
VASP energy ... -5.3567 eV per atom
DOS at the Fermi energy ... 0.621 states/eV per atom
SG ... P4/mmm, No. 123
Total magnetic moment ... 0.00 μB per cell


7.
YBe2Pd2Au | PBE | relaxed

Cell and atoms, written as POSCAR:
```
YBe2Pd2Au
1.0
4.281 0.000 0.000
0.000 4.281 0.000
0.000 0.000 5.613
Y Be Pd Au
1 2 2 1
direct
0.000 0.000 0.000
0.000 0.500 0.500
0.500 0.000 0.500
0.500 0.500 0.251
0.500 0.500 0.749
0.000 0.000 0.500
```

Values from the calculation:
VASP energy ... -4.9028 eV per atom
DOS at the Fermi energy ... 0.511 states/eV per atom
SG ... P4/mmm, No. 123
Total magnetic moment ... 0.00 μB per cell


8.
BeZnPdAu | PBE | relaxed

Cell and atoms, written as POSCAR:
```
BeZnPdAu
1.0
2.875 0.000 0.000
0.000 2.875 0.000
0.000 0.000 6.694
Be Zn Pd Au
1 1 1 1
direct
0.000 0.000 0.000
0.000 0.000 0.537
0.500 0.500 0.803
0.500 0.500 0.236
```

Values from the calculation:
VASP energy ... -3.7391 eV per atom
DOS at the Fermi energy ... 0.180 states/eV per atom
SG ... P4mm, No. 99
Total magnetic moment ... 0.00 μB per cell


9.
PmBe5Au7 | PBE | relaxed

Cell and atoms, written as POSCAR:
```
PmBe5Au7
1.0
-2.521 4.447 4.454
2.521 -4.447 4.454
2.521 4.447 -4.454
Pm Be Au
1 5 7
direct
0.000 0.000 0.000
0.488 0.490 0.511
0.488 0.977 0.999
0.760 0.260 0.500
0.979 0.490 0.001
0.979 0.977 0.489
0.156 0.460 0.696
0.218 0.718 0.500
0.343 0.343 0.000
0.360 0.019 0.341
0.669 0.669 0.000
0.677 0.019 0.659
0.764 0.460 0.304
```

Values from the calculation:
VASP energy ... -3.8331 eV per atom
DOS at the Fermi energy ... 0.343 states/eV per atom
SG ... Imm2, No. 44
Total magnetic moment ... 0.00 μB per cell


10.
PmBeAu | PBE | relaxed

Cell and atoms, written as POSCAR:
```
PmBeAu
1.0
4.257 0.000 0.000
-2.128 3.687 0.000
0.000 0.000 3.934
Pm Be Au
1 1 1
direct
0.000 0.000 0.000
0.333 0.667 0.500
0.667 0.333 0.500
```

Values from the calculation:
VASP energy ... -4.3709 eV per atom
Energy above the lowest structure with this stoichiometry ... 0 meV/atom
DOS at the Fermi energy ... 0.650 states/eV per atom
SG ... P-6m2, No. 187
Total magnetic moment ... 0.00 μB per cell


11.
PmBeAu2 | PBE | relaxed

Cell and atoms, written as POSCAR:
```
PmBeAu2
1.0
3.196 0.000 0.000
0.000 3.196 0.000
0.000 0.000 7.258
Pm Be Au
1 1 2
direct
0.000 0.000 0.000
0.000 0.000 0.500
0.500 0.500 0.308
0.500 0.500 0.692
```

Values from the calculation:
VASP energy ... -4.0766 eV per atom
Energy above the lowest structure with this stoichiometry ... 147 meV/atom
DOS at the Fermi energy ... 0.615 states/eV per atom
SG ... P4/mmm, No. 123
Total magnetic moment ... 0.00 μB per cell


12.
PmBe4Au12 | PBE | relaxed

Cell and atoms, written as POSCAR:
```
PmBe4Au12
1.0
-4.241 4.241 4.241
4.241 -4.241 4.241
4.241 4.241 -4.241
Pm Be Au
1 4 12
direct
0.000 0.000 0.000
0.000 0.000 0.500
0.000 0.500 0.000
0.500 0.000 0.000
0.500 0.500 0.500
0.162 0.829 0.333
0.171 0.333 0.504
0.171 0.667 0.838
0.333 0.162 0.829
0.333 0.504 0.171
0.496 0.829 0.667
0.504 0.171 0.333
0.667 0.496 0.829
0.667 0.838 0.171
0.829 0.333 0.162
0.829 0.667 0.496
0.838 0.171 0.667
```

Values from the calculation:
VASP energy ... -3.5930 eV per atom
DOS at the Fermi energy ... 0.365 states/eV per atom
SG ... Im-3, No. 204
Total magnetic moment ... 0.00 μB per cell


Which of these has the lowest VASP energy? Sm3Be2Pd9Au


What is the formula in the seventh record? YBe2Pd2Au